[1]
## CaSm2Ag4 (PBE-GGA)

Data for a relaxed structure of CaSm2Ag4.

Energy of formation in meV per atom: -78
Spin magnetization in μB/cell: 0.0
Calculated volume in Å³/atom: 26.927

Cell lengths 5.1040, 5.1040, 25.0644 Å; angles 90.00, 90.00, 120.00 degrees
Closest atoms and distances in Å follow each position.
Space group R-3m (No. 166, hexagonal axes)
Asymmetric unit:
Ca (0.0000, 0.0000, 0.0000) [3 per cell]  8 Ag 3.08-3.12
Sm (0.0000, 0.0000, 0.2443) [6 per cell]  8 Ag 3.04-3.24
Ag (0.0000, 0.0000, 0.1229) [6 per cell]  4 Sm 3.04-3.07, 1 Ca 3.08
Ag (0.0000, 0.0000, 0.3738) [6 per cell]  3 Ca 3.12, 4 Sm 3.19-3.24

[2]
## CaSm4Ag4 (PBE-GGA)

Data for a relaxed structure of CaSm4Ag4.

Energy of formation in meV per atom: -72
Spin magnetization in μB/cell: 0.0
Calculated volume in Å³/atom: 31.055

Cell lengths 9.7777, 9.7777, 5.8470 Å; angles 90.00, 90.00, 90.00 degrees
Closest atoms and distances in Å follow each position.
Space group P4_2/n (No. 86, origin choice 2)
Asymmetric unit:
Ca (0.2500, 0.2500, 0.2500) [2 per cell]  4 Ag 3.02
Sm (0.0927, 0.6630, 0.1501) [8 per cell]  5 Ag 3.04-3.21
Ag (0.0200, 0.6120, 0.6479) [8 per cell]  1 Ag 2.82, 1 Ca 3.02, 4 Sm 3.04-3.14

[3]
## CaSm2Ag (PBE-GGA)

Data for a relaxed structure of CaSm2Ag.

Energy of formation in meV per atom: -82
Spin magnetization in μB/cell: 0.0
Calculated volume in Å³/atom: 31.136
Energy relative to the lowest polymorph listed for this composition in eV per formula unit: 0.000

Cell lengths 4.0759, 12.6460, 9.6651 Å; angles 90.00, 90.00, 90.00 degrees
Closest atoms and distances in Å follow each position.
Space group Cmcm (No. 63)
Asymmetric unit:
Ca (0.0000, 0.0540, 0.2500) [4 per cell]  2 Ag 3.28
Sm (0.0000, 0.3611, 0.0493) [8 per cell]  3 Ag 3.11-3.26
Ag (0.0000, 0.2431, 0.7500) [4 per cell]  6 Sm 3.11-3.26, 2 Ca 3.28

[4]
## CaSm3Ag4 (PBE-GGA)

Data for a relaxed structure of CaSm3Ag4.

Energy of formation in meV per atom: -292
Spin magnetization in μB/cell: 0.0
Calculated volume in Å³/atom: 25.462

Cell lengths 5.2513, 5.2513, 7.3866 Å; angles 90.00, 90.00, 90.00 degrees
Closest atoms and distances in Å follow each position.
Space group P4/mmm (No. 123)
Asymmetric unit:
Ca (0.0000, 0.0000, 0.0000) [1 per cell]  8 Ag 3.22
Sm (0.0000, 0.0000, 0.5000) [1 per cell]  8 Ag 3.20
Sm (0.5000, 0.5000, 0.0000) [1 per cell]  8 Ag 3.22
Sm (0.5000, 0.5000, 0.5000) [1 per cell]  8 Ag 3.20
Ag (0.0000, 0.5000, 0.2535) [4 per cell]  6 Sm 3.20-3.22, 2 Ca 3.22

[5]
## CaSm2Ag (PBE-GGA)

Data for a relaxed structure of CaSm2Ag.

Energy of formation in meV per atom: 42
Spin magnetization in μB/cell: 0.0
Calculated volume in Å³/atom: 31.993
Energy relative to the lowest polymorph listed for this composition in eV per formula unit: 0.493

Cell lengths 3.6845, 3.6845, 32.6551 Å; angles 90.00, 90.00, 120.00 degrees
Closest atoms and distances in Å follow each position.
Space group R-3m (No. 166, hexagonal axes)
Asymmetric unit:
Ca (0.0000, 0.0000, 0.0000) [3 per cell]  6 Ca 3.68, 6 Sm 3.79
Sm (0.0000, 0.0000, 0.2374) [6 per cell]  3 Ag 3.14
Ag (0.0000, 0.0000, 0.5000) [3 per cell]  6 Sm 3.14

[6]
## CaSm2Ag6 (PBE-GGA)

Data for a relaxed structure of CaSm2Ag6.

Energy of formation in meV per atom: -257
Spin magnetization in μB/cell: 0.0
Calculated volume in Å³/atom: 23.422

Cell lengths 8.3008, 8.3008, 3.5319 Å; angles 90.00, 90.00, 120.00 degrees
Closest atoms and distances in Å follow each position.
Space group P6/mmm (No. 191)
Asymmetric unit:
Ca (0.0000, 0.0000, 0.0000) [1 per cell]  12 Ag 3.28, 2 Ca 3.53
Sm (0.3333, 0.6667, 0.0000) [2 per cell]  12 Ag 3.28, 2 Sm 3.53
Ag (0.0000, 0.3333, 0.5000) [6 per cell]  3 Ag 2.77

[7]
## Ca2SmAg (PBE-GGA)

Data for a relaxed structure of Ca2SmAg.

Energy of formation in meV per atom: 143
Spin magnetization in μB/cell: 0.0
Calculated volume in Å³/atom: 33.625
Energy relative to the lowest polymorph listed for this composition in eV per formula unit: 0.888

Cell lengths 3.6651, 3.6651, 34.6845 Å; angles 90.00, 90.00, 120.00 degrees
Closest atoms and distances in Å follow each position.
Space group R-3m (No. 166, hexagonal axes)
Asymmetric unit:
Ca (0.0000, 0.0000, 0.1019) [6 per cell]  3 Ag 3.09
Sm (0.0000, 0.0000, 0.0000) [3 per cell]  2 Ca 3.53, 6 Sm 3.67
Ag (0.0000, 0.0000, 0.5000) [3 per cell]  6 Ca 3.09

[8]
## CaSm2Ag5 (PBE-GGA)

Data for a relaxed structure of CaSm2Ag5.

Energy of formation in meV per atom: -218
Spin magnetization in μB/cell: 0.0
Calculated volume in Å³/atom: 23.585

Cell lengths 5.1593, 5.1593, 14.1762 Å; angles 90.00, 90.00, 90.00 degrees
Closest atoms and distances in Å follow each position.
Space group I4/mmm (No. 139)
Asymmetric unit:
Ca (0.0000, 0.0000, 0.0000) [2 per cell]  8 Ag 3.07
Sm (0.0000, 0.0000, 0.2671) [4 per cell]  9 Ag 3.05-3.33
Ag (0.0000, 0.0000, 0.5000) [2 per cell]  8 Ag 3.07, 2 Sm 3.30
Ag (0.0000, 0.5000, 0.1180) [8 per cell]  4 Sm 3.05-3.33, 3 Ag 3.07-3.35, 2 Ca 3.07

[9]
## CaSm2Ag2 (PBE-GGA)

Data for a relaxed structure of CaSm2Ag2.

Energy of formation in meV per atom: -204
Spin magnetization in μB/cell: 0.0
Calculated volume in Å³/atom: 28.237
Energy relative to the lowest polymorph listed for this composition in eV per formula unit: 0.000

Cell lengths 8.5107, 8.5107, 3.8984 Å; angles 90.00, 90.00, 90.00 degrees
Closest atoms and distances in Å follow each position.
Space group P4/mbm (No. 127)
Asymmetric unit:
Ca (0.0000, 0.0000, 0.0000) [2 per cell]  4 Ag 3.34, 8 Sm 3.74
Sm (0.1607, 0.3393, 0.5000) [4 per cell]  6 Ag 3.15-3.20
Ag (0.1286, 0.6286, 0.0000) [4 per cell]  1 Ag 3.10, 6 Sm 3.15-3.20, 2 Ca 3.34

[10]
## Ca2Sm2Ag3 (PBE-GGA)

Data for a relaxed structure of Ca2Sm2Ag3.

Energy of formation in meV per atom: -164
Spin magnetization in μB/cell: 0.0
Calculated volume in Å³/atom: 28.419

Cell lengths 5.2110, 5.2110, 25.3818 Å; angles 90.00, 90.00, 120.00 degrees
Closest atoms and distances in Å follow each position.
Space group R-3m (No. 166, hexagonal axes)
Asymmetric unit:
Ca (0.0000, 0.0000, 0.1243) [6 per cell]  7 Ag 3.20-3.29
Sm (0.0000, 0.0000, 0.3743) [6 per cell]  5 Ag 3.06-3.19
Ag (0.0000, 0.0000, 0.2537) [6 per cell]  4 Sm 3.06-3.16, 4 Ca 3.21-3.29
Ag (0.0000, 0.0000, 0.5000) [3 per cell]  2 Sm 3.19, 6 Ca 3.20

[11]
## CaSm2Ag2 (PBE-GGA)

Data for a relaxed structure of CaSm2Ag2.

Energy of formation in meV per atom: -112
Spin magnetization in μB/cell: 0.0
Calculated volume in Å³/atom: 29.353
Energy relative to the lowest polymorph listed for this composition in eV per formula unit: 0.461

Cell lengths 6.2625, 7.3944, 7.9836 Å; angles 115.95, 90.08, 114.92 degrees
Closest atoms and distances in Å follow each position.
Space group P-1 (No. 2)
Asymmetric unit:
Ca (0.1197, 0.0001, 0.2494) [2 per cell]  4 Ag 3.05-3.13
Sm (0.2364, 0.5577, 0.6735) [2 per cell]  4 Ag 3.04-3.30
Sm (0.3211, 0.5580, 0.1743) [2 per cell]  4 Ag 3.04-3.30
Ag (0.2782, 0.9042, 0.5497) [2 per cell]  2 Ag 2.81-2.83, 2 Sm 3.04-3.08, 2 Ca 3.05-3.13
Ag (0.3755, 0.0973, 0.9506) [2 per cell]  2 Ag 2.81-2.83, 2 Sm 3.04-3.08, 2 Ca 3.05-3.13

[12]
## Ca2SmAg (PBE-GGA)

Data for a relaxed structure of Ca2SmAg.

Energy of formation in meV per atom: -79
Spin magnetization in μB/cell: 0.0
Calculated volume in Å³/atom: 31.387
Energy relative to the lowest polymorph listed for this composition in eV per formula unit: 0.000

Cell lengths 3.5807, 3.5807, 9.7917 Å; angles 90.00, 90.00, 90.00 degrees
Closest atoms and distances in Å follow each position.
Space group P4/mmm (No. 123)
Asymmetric unit:
Ca (0.0000, 0.0000, 0.2017) [2 per cell]  4 Ag 3.21, 4 Ca 3.58
Sm (0.5000, 0.5000, 0.5000) [1 per cell]  4 Sm 3.58, 8 Ca 3.87
Ag (0.5000, 0.5000, 0.0000) [1 per cell]  8 Ca 3.21, 4 Ag 3.58

[13]
## CaSm2Ag9 (PBE-GGA)

Data for a relaxed structure of CaSm2Ag9.

Energy of formation in meV per atom: -174
Spin magnetization in μB/cell: 0.0
Calculated volume in Å³/atom: 21.842

Cell lengths 5.6922, 5.6922, 28.0221 Å; angles 90.00, 90.00, 120.00 degrees
Closest atoms and distances in Å follow each position.
Space group R-3m (No. 166, hexagonal axes)
Asymmetric unit:
Ca (0.0000, 0.0000, 0.0000) [3 per cell]  6 Ag 3.29
Sm (0.0000, 0.0000, 0.1425) [6 per cell]  12 Ag 3.28-3.40, 3 Sm 3.56
Ag (0.0000, 0.0000, 0.3333) [6 per cell]  6 Ag 2.87-2.89
Ag (0.0000, 0.0000, 0.5000) [3 per cell]  6 Ag 2.84
Ag (0.0031, 0.5016, 0.9156) [18 per cell]  7 Ag 2.82-2.89

[14]
## Ca2SmAg2 (PBE-GGA)

Data for a relaxed structure of Ca2SmAg2.

Energy of formation in meV per atom: -197
Spin magnetization in μB/cell: 0.0
Calculated volume in Å³/atom: 28.061

Cell lengths 3.7052, 5.3569, 14.2576 Å; angles 90.00, 97.44, 90.00 degrees
Closest atoms and distances in Å follow each position.
Space group P2_1/m (No. 11)
Asymmetric unit:
Ca (0.0445, 0.2500, 0.0900) [2 per cell]  8 Ag 3.15-3.29
Ca (0.2251, 0.2500, 0.4507) [2 per cell]  2 Ag 3.15
Sm (0.1402, 0.7500, 0.2810) [2 per cell]  6 Ag 3.13-3.26
Ag (0.3655, 0.7500, 0.7296) [2 per cell]  4 Ca 3.15, 4 Sm 3.26
Ag (0.4493, 0.2500, 0.8977) [2 per cell]  2 Sm 3.13, 6 Ca 3.26-3.29

[15]
## CaSm4Ag5 (PBE-GGA)

Data for a relaxed structure of CaSm4Ag5.

Energy of formation in meV per atom: -288
Spin magnetization in μB/cell: 0.0
Calculated volume in Å³/atom: 25.600

Cell lengths 3.6888, 3.6888, 18.8136 Å; angles 90.00, 90.00, 90.00 degrees
Closest atoms and distances in Å follow each position.
Space group P4/mmm (No. 123)
Asymmetric unit:
Ca (0.0000, 0.0000, 0.0000) [1 per cell]  8 Ag 3.26
Sm (0.0000, 0.0000, 0.1992) [2 per cell]  8 Ag 3.16-3.22
Sm (0.0000, 0.0000, 0.4001) [2 per cell]  8 Ag 3.22
Ag (0.5000, 0.5000, 0.1041) [2 per cell]  4 Sm 3.16, 4 Ca 3.26
Ag (0.5000, 0.5000, 0.2994) [2 per cell]  8 Sm 3.22
Ag (0.5000, 0.5000, 0.5000) [1 per cell]  8 Sm 3.22

[16]
## Ca2SmAg2Sn2 (PBE-GGA)

Data for a relaxed structure of Ca2SmAg2Sn2.

Energy of formation in meV per atom: -471
Spin magnetization in μB/cell: 0.0
Calculated volume in Å³/atom: 27.042

Cell lengths 4.8541, 4.8541, 27.8291 Å; angles 90.00, 90.00, 120.00 degrees
Closest atoms and distances in Å follow each position.
Space group R-3m (No. 166, hexagonal axes)
Asymmetric unit:
Ca (0.0000, 0.0000, 0.1279) [6 per cell]  3 Sn 3.20, 3 Ag 3.31, 3 Ca 3.54, 1 Sm 3.56
Sm (0.0000, 0.0000, 0.0000) [3 per cell]  6 Ag 3.33, 6 Sn 3.45, 2 Ca 3.56
Ag (0.0000, 0.0000, 0.3977) [6 per cell]  3 Sn 2.81
Sn (0.0000, 0.0000, 0.2608) [6 per cell]  3 Ag 2.81

[17]
## CaSmAgTe3 (PBE-GGA)

Data for a relaxed structure of CaSmAgTe3.

ΔE_f (raw) in kcal/mol of atoms: -26.73
Spin magnetization in μB/cell: 0.0
Calculated volume in Å³/atom: 30.789

Cell lengths 8.8861, 4.2845, 9.9180 Å; angles 90.00, 101.91, 90.00 degrees
Closest atoms and distances in Å follow each position.
Space group P2_1/m (No. 11)
Asymmetric unit:
Ca (0.1678, 0.2500, 0.1716) [2 per cell]  6 Te 3.14-3.22
Sm (0.3161, 0.7500, 0.7534) [2 per cell]  6 Te 3.17-3.24
Ag (0.4184, 0.7500, 0.4168) [2 per cell]  4 Te 2.83-2.97, 2 Ag 2.90
Te (0.0944, 0.2500, 0.8452) [2 per cell]  3 Ca 3.14-3.17, 2 Sm 3.17
Te (0.2403, 0.2500, 0.5029) [2 per cell]  3 Ag 2.90-2.97, 1 Ca 3.22
Te (0.4210, 0.7500, 0.1317) [2 per cell]  1 Ag 2.83

[18]
## Ca3Sm2AgTe6 (PBE-GGA)

Data for a relaxed structure of Ca3Sm2AgTe6.

ΔE_f (raw) in kcal/mol of atoms: -30.44
Spin magnetization in μB/cell: 0.0
Calculated volume in Å³/atom: 31.650

Cell lengths 7.7561, 13.4249, 7.7425 Å; angles 90.00, 109.57, 90.00 degrees
Closest atoms and distances in Å follow each position.
Space group C2/m (No. 12)
Asymmetric unit:
Ca (0.0000, 0.0000, 0.0000) [2 per cell]  6 Te 3.17-3.20
Ca (0.0000, 0.3328, 0.0000) [4 per cell]  6 Te 3.17-3.20
Sm (0.0000, 0.1662, 0.5000) [4 per cell]  6 Te 3.15-3.16
Ag (0.0000, 0.5000, 0.5000) [2 per cell]  6 Te 3.12-3.13
Te (0.2467, 0.3349, 0.7452) [8 per cell]  1 Ag 3.12, 2 Sm 3.16, 3 Ca 3.17-3.20
Te (0.2485, 0.5000, 0.2537) [4 per cell]  1 Ag 3.13, 2 Sm 3.15, 3 Ca 3.17-3.20

[19]
## CaSmTlAg (PBE-GGA)

Data for a relaxed structure of CaSmTlAg.

Energy of formation in meV per atom: -366
Spin magnetization in μB/cell: 0.0
Calculated volume in Å³/atom: 27.099

Cell lengths 7.5687, 7.5687, 7.5687 Å; angles 90.00, 90.00, 90.00 degrees
Closest atoms and distances in Å follow each position.
Space group F-43m (No. 216)
Asymmetric unit:
Ca (0.0000, 0.0000, 0.0000) [4 per cell]  4 Tl 3.28, 4 Ag 3.28
Sm (0.0000, 0.0000, 0.5000) [4 per cell]  4 Tl 3.28, 4 Ag 3.28
Tl (0.2500, 0.2500, 0.2500) [4 per cell]  4 Ca 3.28, 4 Sm 3.28
Ag (0.2500, 0.2500, 0.7500) [4 per cell]  4 Ca 3.28, 4 Sm 3.28

[20]
## CaSmZnAg (PBE-GGA)

Data for a relaxed structure of CaSmZnAg.

Energy of formation in meV per atom: -286
Spin magnetization in μB/cell: 0.0
Calculated volume in Å³/atom: 24.832
Energy relative to the lowest polymorph listed for this composition in eV per formula unit: 0.030

Cell lengths 7.3515, 7.3515, 7.3515 Å; angles 90.00, 90.00, 90.00 degrees
Closest atoms and distances in Å follow each position.
Space group F-43m (No. 216)
Asymmetric unit:
Ca (0.0000, 0.0000, 0.0000) [4 per cell]  4 Zn 3.18, 4 Ag 3.18
Sm (0.0000, 0.0000, 0.5000) [4 per cell]  4 Zn 3.18, 4 Ag 3.18
Zn (0.2500, 0.2500, 0.2500) [4 per cell]  4 Ca 3.18, 4 Sm 3.18
Ag (0.2500, 0.2500, 0.7500) [4 per cell]  4 Ca 3.18, 4 Sm 3.18

[21]
## CaSmZnAg (PBE-GGA)

Data for a relaxed structure of CaSmZnAg.

Energy of formation in meV per atom: -294
Spin magnetization in μB/cell: 0.0
Calculated volume in Å³/atom: 25.092
Energy relative to the lowest polymorph listed for this composition in eV per formula unit: 0.000

Cell lengths 3.7043, 3.7043, 7.3146 Å; angles 90.00, 90.00, 90.00 degrees
Closest atoms and distances in Å follow each position.
Space group P4mm (No. 99)
Asymmetric unit:
Ca (0.0000, 0.0000, 0.0000) [1 per cell]  4 Zn 3.23, 4 Ag 3.26, 1 Sm 3.57
Sm (0.0000, 0.0000, 0.4887) [1 per cell]  4 Zn 3.12, 4 Ag 3.18
Zn (0.5000, 0.5000, 0.2580) [1 per cell]  4 Sm 3.12, 4 Ca 3.23
Ag (0.5000, 0.5000, 0.7357) [1 per cell]  4 Sm 3.18, 4 Ca 3.26, 1 Zn 3.49

[22]
## Ca2Ag5Sn4 (PBE-GGA)

Data for a relaxed structure of Ca2Ag5Sn4.

Energy of formation in meV per atom: -161
Spin magnetization in μB/cell: 0.0
Calculated volume in Å³/atom: 25.161

Cell lengths 5.9240, 10.2225, 18.2817 Å; angles 90.00, 90.00, 90.00 degrees
Closest atoms and distances in Å follow each position.
Space group Fmmm (No. 69)
Asymmetric unit:
Ca (0.0000, 0.0000, 0.1273) [8 per cell]  6 Sn 3.36-3.53, 8 Ag 3.71-3.76
Ag (0.0000, 0.0000, 0.5000) [4 per cell]  4 Sn 2.85, 4 Ag 2.95
Ag (0.2500, 0.2500, 0.0000) [8 per cell]  4 Ag 2.95-2.96, 4 Sn 2.96
Ag (0.2500, 0.2500, 0.2500) [8 per cell]  4 Sn 2.83, 2 Ag 2.96
Sn (0.0000, 0.1548, 0.3705) [16 per cell]  5 Ag 2.83-2.96, 1 Sn 3.16

[23]
## Ca3AgSn2 (PBE-GGA)

Data for a relaxed structure of Ca3AgSn2.

Energy of formation in meV per atom: -559
Spin magnetization in μB/cell: 0.0
Calculated volume in Å³/atom: 28.703

Cell lengths 12.6403, 4.8663, 11.1992 Å; angles 90.00, 90.00, 90.00 degrees
Closest atoms and distances in Å follow each position.
Space group Pnma (No. 62)
Asymmetric unit:
Ca (0.0461, 0.2500, 0.1268) [4 per cell]  1 Ag 3.21, 5 Sn 3.25-3.35
Ca (0.1406, 0.7500, 0.5846) [4 per cell]  3 Ag 3.19, 5 Sn 3.26-3.36, 1 Ca 3.48
Ca (0.2213, 0.2500, 0.8160) [4 per cell]  5 Sn 3.34-3.55, 2 Ag 3.37, 3 Ca 3.48-3.70
Ag (0.1117, 0.2500, 0.4038) [4 per cell]  3 Sn 2.85-2.88, 3 Ca 3.19
Sn (0.0119, 0.7500, 0.3257) [4 per cell]  2 Ag 2.88
Sn (0.1862, 0.7500, 0.0167) [4 per cell]  1 Ag 2.85